1.
Pr3In4Cu2: optimized geometry, PBE-GGA.

Lattice parameters (Å, degrees): 6.1549 6.1549 9.1625 111.22 111.22 45.75
With the nearest neighbours (Å) after each atom.
Positions (direct):
Pr (0.0000, 0.0000, 0.0000)  8 In 3.18-3.41, 4 Cu 3.30
Pr (0.3259, 0.3259, 0.3527)  4 Cu 3.22-3.43, 7 In 3.31-3.45
Pr (0.6741, 0.6741, 0.6473)  4 Cu 3.22-3.43, 7 In 3.31-3.45
In (0.0329, 0.0329, 0.3607)  2 Cu 2.72, 1 In 2.93
In (0.2686, 0.2686, 0.9179)  1 Cu 2.72, 2 In 2.94
In (0.7314, 0.7314, 0.0821)  1 Cu 2.72, 2 In 2.94
In (0.9671, 0.9671, 0.6393)  2 Cu 2.72, 1 In 2.93
Cu (0.4049, 0.4049, 0.7309)  3 In 2.72
Cu (0.5951, 0.5951, 0.2691)  3 In 2.72

The formation energy from the elements comes out at -0.396 eV per atom. As for the calculated total energy: -37.1 eV for the cell shown. Its magnetic moment is 0.00 μB/atom.



2.
LiCa2TlI6: optimized geometry, PBE-GGA.

Lattice parameters (Å, degrees): 8.6322 8.6322 8.6322 55.69 55.69 55.69
With the nearest neighbours (Å) after each atom.
Positions (direct):
Li (0.0000, 0.0000, 0.0000)  6 I 3.02-3.17
Ca (0.1835, 0.1835, 0.1835)  6 I 3.15-3.19
Ca (0.6730, 0.6730, 0.6730)  6 I 3.14-3.18
Tl (0.4814, 0.4814, 0.4814)  6 I 3.42-3.58
I (0.0399, 0.8168, 0.3996)  1 Li 3.02, 2 Ca 3.14-3.19
I (0.2647, 0.5899, 0.9217)  2 Ca 3.15-3.18, 1 Li 3.17
I (0.3996, 0.0399, 0.8168)  1 Li 3.02, 2 Ca 3.14-3.19
I (0.5899, 0.9217, 0.2647)  2 Ca 3.15-3.18, 1 Li 3.17
I (0.8168, 0.3996, 0.0399)  1 Li 3.02, 2 Ca 3.14-3.19
I (0.9217, 0.2647, 0.5899)  2 Ca 3.15-3.18, 1 Li 3.17

As for the calculated total energy: -30.6 eV for the cell shown. Its magnetic moment is 0.00 μB/atom. The value obtained for the formation energy from raw total energies is -1.3006 eV per atom.



3.
Tl2As2I: optimized geometry, PBE-GGA.

Lattice parameters (Å, degrees): 8.2936 8.2936 4.0374 90.00 90.00 90.00
With the nearest neighbours (Å) after each atom.
Positions (direct):
Tl (0.1489, 0.3511, 0.0000)  6 As 3.06-3.23
Tl (0.3511, 0.8511, 0.0000)  6 As 3.06-3.23
Tl (0.6489, 0.1489, 0.0000)  6 As 3.06-3.23
Tl (0.8511, 0.6489, 0.0000)  6 As 3.06-3.23
As (0.1550, 0.6550, 0.5000)  6 Tl 3.06-3.23, 2 I 3.14
As (0.3450, 0.1550, 0.5000)  6 Tl 3.06-3.23, 2 I 3.14
As (0.6550, 0.8450, 0.5000)  6 Tl 3.06-3.23, 2 I 3.14
As (0.8450, 0.3450, 0.5000)  6 Tl 3.06-3.23, 2 I 3.14
I (0.0000, 0.0000, 0.5000)  4 As 3.14
I (0.5000, 0.5000, 0.5000)  4 As 3.14

As for the calculated total energy: -28.9 eV for the cell shown. Its magnetic moment is 0.00 μB/atom. The value obtained for the formation energy from raw total energies is 0.2228 eV per atom.